Model i:
Tb2YAl | PBE | relaxed

Summary:
Symmetry: No. 166
D(E_F) in states/eV/cell: 4.9
Total moment in μB per formula unit: 0.92

a b c (Å): 3.479 3.479 11.653
angles (deg): 81.41 81.41 60.00
Element x y z (fractional)
Y1 0.000 0.000 0.000
Tb1 0.100 0.100 0.699
Al1 0.500 0.500 0.500
Tb2 0.900 0.900 0.301



Model ii:
Tb2YAl | PBE | relaxed

Summary:
Symmetry: No. 38
D(E_F) in states/eV/cell: 8.1
Total moment in μB per formula unit: 0.00

a b c (Å): 5.303 6.870 6.870
angles (deg): 119.85 90.00 90.00
Element x y z (fractional)
Y1 0.500 0.649 0.826
Tb1 0.000 0.826 0.648
Tb2 0.000 0.824 0.176
Tb3 0.000 0.352 0.174
Tb4 0.500 0.175 0.825
Al1 0.500 0.667 0.333
Al2 0.000 0.334 0.666
Y2 0.500 0.174 0.351



Model iii:
Tb2YAl | PBE | relaxed

Summary:
Symmetry: No. 123
D(E_F) in states/eV/cell: 6.2
Total moment in μB per formula unit: 0.00

a b c (Å): 4.801 4.770 4.770
angles (deg): 90.00 90.00 90.00
Element x y z (fractional)
Y1 0.500 0.500 0.500
Tb1 0.000 0.000 0.500
Tb2 0.000 0.500 0.000
Al1 0.500 0.000 0.000



model ii (14 meV/atom below the next structure)